1.
HgBi3Pd: relaxed, PBE.

Cell and atoms, written as CIF:
```
data_HgBi3Pd
_chemical_formula_sum 'Hg1 Bi3 Pd1'
_cell_length_a 5.430
_cell_length_b 5.430
_cell_length_c 5.430
_cell_angle_alpha 90.00
_cell_angle_beta 90.00
_cell_angle_gamma 90.00
_space_group_name_H-M_alt 'P 1'
_space_group_IT_number 1
loop_
_space_group_symop_operation_xyz
'x,y,z'
loop_
_atom_site_label
_atom_site_type_symbol
_atom_site_fract_x
_atom_site_fract_y
_atom_site_fract_z
Bi1 Bi 0.000 0.500 0.000
Bi2 Bi 0.000 0.000 0.500
Bi3 Bi 0.500 0.000 0.000
Pd1 Pd 0.000 0.000 0.000
Hg1 Hg 0.500 0.500 0.500
```

Summary:
Size of the total moment: 0.00 μB/f.u.

2.
Hg2Bi2Pd: relaxed, PBE.

Cell and atoms, written as CIF:
```
data_Hg2Bi2Pd
_chemical_formula_sum 'Hg4 Bi4 Pd2'
_cell_length_a 7.301
_cell_length_b 7.301
_cell_length_c 4.803
_cell_angle_alpha 90.00
_cell_angle_beta 90.00
_cell_angle_gamma 90.00
_space_group_name_H-M_alt 'P 1'
_space_group_IT_number 1
loop_
_space_group_symop_operation_xyz
'x,y,z'
loop_
_atom_site_label
_atom_site_type_symbol
_atom_site_fract_x
_atom_site_fract_y
_atom_site_fract_z
Bi1 Bi 0.162 0.662 0.500
Bi2 Bi 0.662 0.838 0.500
Bi3 Bi 0.838 0.338 0.500
Bi4 Bi 0.338 0.162 0.500
Pd1 Pd 0.000 0.000 0.000
Pd2 Pd 0.500 0.500 0.000
Hg1 Hg 0.351 0.851 0.000
Hg2 Hg 0.851 0.649 0.000
Hg3 Hg 0.649 0.149 0.000
Hg4 Hg 0.149 0.351 0.000
```

Summary:
Size of the total moment: 0.00 μB/f.u.

3.
HgBiPd: relaxed, PBE.

Cell and atoms, written as CIF:
```
data_HgBiPd
_chemical_formula_sum 'Hg1 Bi1 Pd1'
_cell_length_a 3.536
_cell_length_b 3.536
_cell_length_c 6.652
_cell_angle_alpha 90.00
_cell_angle_beta 90.00
_cell_angle_gamma 120.00
_space_group_name_H-M_alt 'P 1'
_space_group_IT_number 1
loop_
_space_group_symop_operation_xyz
'x,y,z'
loop_
_atom_site_label
_atom_site_type_symbol
_atom_site_fract_x
_atom_site_fract_y
_atom_site_fract_z
Bi1 Bi 0.333 0.667 0.625
Pd1 Pd 0.667 0.333 0.338
Hg1 Hg 0.000 0.000 0.037
```

Summary:
Size of the total moment: 0.00 μB/f.u.

4.
HgBi2Pd8: relaxed, PBE.

Cell and atoms, written as CIF:
```
data_HgBi2Pd8
_chemical_formula_sum 'Hg1 Bi2 Pd8'
_cell_length_a 4.120
_cell_length_b 8.002
_cell_length_c 7.576
_cell_angle_alpha 121.88
_cell_angle_beta 105.78
_cell_angle_gamma 90.00
_space_group_name_H-M_alt 'P 1'
_space_group_IT_number 1
loop_
_space_group_symop_operation_xyz
'x,y,z'
loop_
_atom_site_label
_atom_site_type_symbol
_atom_site_fract_x
_atom_site_fract_y
_atom_site_fract_z
Hg1 Hg 0.500 0.000 0.000
Bi1 Bi 0.162 0.662 0.323
Bi2 Bi 0.838 0.338 0.677
Pd1 Pd 0.664 0.911 0.328
Pd2 Pd 0.336 0.582 0.672
Pd3 Pd 0.166 0.166 0.332
Pd4 Pd 0.000 0.252 0.000
Pd5 Pd 0.834 0.834 0.668
Pd6 Pd 0.664 0.418 0.328
Pd7 Pd 0.336 0.089 0.672
Pd8 Pd 0.000 0.748 0.000
```

Summary:
Size of the total moment: 0.00 μB/f.u.

5.
HgBiPd: relaxed, PBE.

Cell and atoms, written as CIF:
```
data_HgBiPd
_chemical_formula_sum 'Hg1 Bi1 Pd1'
_cell_length_a 3.324
_cell_length_b 3.324
_cell_length_c 6.706
_cell_angle_alpha 104.35
_cell_angle_beta 104.35
_cell_angle_gamma 90.00
_space_group_name_H-M_alt 'P 1'
_space_group_IT_number 1
loop_
_space_group_symop_operation_xyz
'x,y,z'
loop_
_atom_site_label
_atom_site_type_symbol
_atom_site_fract_x
_atom_site_fract_y
_atom_site_fract_z
Bi1 Bi 0.025 0.025 0.051
Pd1 Pd 0.665 0.665 0.331
Hg1 Hg 0.309 0.309 0.618
```

Summary:
Size of the total moment: 0.00 μB/f.u.

6.
HgBiPd: relaxed, PBE.

Cell and atoms, written as CIF:
```
data_HgBiPd
_chemical_formula_sum 'Hg1 Bi1 Pd1'
_cell_length_a 4.704
_cell_length_b 4.704
_cell_length_c 4.704
_cell_angle_alpha 60.00
_cell_angle_beta 60.00
_cell_angle_gamma 60.00
_space_group_name_H-M_alt 'P 1'
_space_group_IT_number 1
loop_
_space_group_symop_operation_xyz
'x,y,z'
loop_
_atom_site_label
_atom_site_type_symbol
_atom_site_fract_x
_atom_site_fract_y
_atom_site_fract_z
Bi1 Bi 0.000 0.000 0.000
Pd1 Pd 0.250 0.250 0.250
Hg1 Hg 0.500 0.500 0.500
```

Summary:
Size of the total moment: 0.00 μB/f.u.

no.,energy of formation (eV per atom)
1,0.272
2,0.129
3,-0.098
4,-0.210
5,-0.106
6,-0.147